A plane-wave DFT calculation with PBE was carried out for crystalline Sc2InPt at its relaxed geometry.

abc: 3.528 3.528 6.615
angles: 90.00 90.00 90.00
Positions (direct):
1 Sc 0.000 0.000 0.000
2 Sc 0.500 0.500 0.296
3 In 0.000 0.000 0.552
4 Pt 0.500 0.500 0.804

Values from the calculation:
space group = No. 99
energy relative to the elements = -0.597 eV per atom